Computed, not measured: a geometry-optimized Mg2CuTe structure at the PBE-GGA level of DFT.

Output
- space-group type = Cm, No. 8
- formation energy without anion corrections (meV/atom) = -227
- calculated density (g/cm³) = 4.61

Cell: 5.9245 5.9245 3.8941 Å, 90.06 90.06 39.18°
Atoms (fractional coordinates):
Mg (0.0000, 0.0000, 0.0000)
Mg (0.6791, 0.6791, 0.4994)
Cu (0.4478, 0.4478, 0.4999)
Te (0.2772, 0.2772, 0.9994)